Entry 1:
# Pm8CuTe4S3 (PBE, optimized geometry)
# energy relative to the elements, uncorrected = -1495 meV/atom
data_Pm8CuTe4S3
_chemical_formula_sum 'Pm24 Cu3 Te12 S9'
_space_group_name_H-M_alt 'R -3 m'
_space_group_IT_number 166
_space_group_name_Hall '-R 3 2"'
_cell_length_a 8.4184
_cell_length_b 8.4184
_cell_length_c 21.5236
_cell_angle_alpha 90.00
_cell_angle_beta 90.00
_cell_angle_gamma 120.00
loop_
_atom_site_label
_atom_site_type_symbol
_atom_site_fract_x
_atom_site_fract_y
_atom_site_fract_z
Pm1 Pm 0.0000 0.0000 0.2358
Pm2 Pm 0.0013 0.5007 0.7613
Cu1 Cu 0.0000 0.0000 0.5000
Te1 Te 0.0000 0.0000 0.0000
Te2 Te 0.0000 0.5000 0.0000
S1 S 0.0000 0.5000 0.5000

=====

Entry 2:
# KPr3Ir (PBE, optimized geometry)
# ΔE_f = -0.101 eV/atom
data_KPr3Ir
_chemical_formula_sum 'K1 Pr3 Ir1'
_space_group_name_H-M_alt 'P m -3 m'
_space_group_IT_number 221
_space_group_name_Hall '-P 4 2 3'
_cell_length_a 5.774
_cell_length_b 5.774
_cell_length_c 5.774
_cell_angle_alpha 90.00
_cell_angle_beta 90.00
_cell_angle_gamma 90.00
loop_
_atom_site_label
_atom_site_type_symbol
_atom_site_fract_x
_atom_site_fract_y
_atom_site_fract_z
K1 K 0.000 0.000 0.000
Pr1 Pr 0.000 0.500 0.500
Ir1 Ir 0.500 0.500 0.500

=====

Number 1: size of the total moment 0.000 μB per atom, E -5.6860 eV/atom, Fermi-level density of states 0.455 states/eV/atom. Number 2: size of the total moment 0.000 μB per atom, E -4.9608 eV/atom, Fermi-level density of states 0.771 states/eV/atom.